(1)
DFT (PBEsol) results for a relaxed Sc3BrCl crystal.

Geometry as extended XYZ:
```
5
Lattice="4.983 0.000 0.000 0.000 4.983 0.000 0.000 0.000 4.983" Properties=species:S:1:pos:R:3 pbc="T T T"
Sc 0.000 0.000 2.491
Sc 0.000 2.491 0.000
Sc 2.491 0.000 0.000
Br 0.000 0.000 0.000
Cl 2.491 2.491 2.491
```

The density of states at the Fermi level is 9.560 states/eV/cell.

(2)
DFT (PBEsol) results for a relaxed ScBr2Cl crystal.

Geometry as extended XYZ:
```
4
Lattice="2.141 1.236 6.688 -2.141 1.236 6.688 0.000 -2.472 6.688" Properties=species:S:1:pos:R:3 pbc="T T T"
Sc 0.000 0.000 0.000
Br 0.000 0.000 4.870
Br 0.000 0.000 8.504
Cl 0.000 0.000 13.373
```

The density of states at the Fermi level is 0.000 states/eV/cell. The polymorph energy (0 for the lowest one) comes out at 0.370 eV/atom.

(3)
DFT (PBEsol) results for a relaxed ScBr2Cl crystal.

Geometry as extended XYZ:
```
4
Lattice="-1.712 2.655 5.902 1.712 -2.655 5.902 1.712 2.655 -5.902" Properties=species:S:1:pos:R:3 pbc="T T T"
Sc 0.000 0.000 0.000
Br 1.712 0.000 2.001
Br 0.000 0.000 5.874
Cl 0.000 2.655 4.099
```

The polymorph energy (0 for the lowest one) comes out at 0.293 eV/atom.

(4)
DFT (PBEsol) results for a relaxed ScBrCl2 crystal.

Geometry as extended XYZ:
```
4
Lattice="0.000 3.386 3.386 3.386 0.000 3.386 3.386 3.386 0.000" Properties=species:S:1:pos:R:3 pbc="T T T"
Sc 0.000 0.000 0.000
Br 5.079 5.079 5.079
Cl 1.693 1.693 1.693
Cl 3.386 3.386 3.386
```

The polymorph energy (0 for the lowest one) comes out at 0.729 eV/atom.

(5)
DFT (PBEsol) results for a relaxed ScBr2Cl crystal.

Geometry as extended XYZ:
```
4
Lattice="6.095 -1.707 0.000 6.095 1.707 0.000 -3.410 0.000 5.677" Properties=species:S:1:pos:R:3 pbc="T T T"
Sc 0.000 0.000 0.000
Br 1.704 0.000 3.908
Br 5.014 0.000 1.706
Cl 7.925 0.000 0.047
```

The density of states at the Fermi level is 0.000 states/eV/cell. The polymorph energy (0 for the lowest one) comes out at 0.032 eV/atom.

(6)
DFT (PBEsol) results for a relaxed Sc2BrCl2 crystal.

Geometry as extended XYZ:
```
5
Lattice="-2.207 2.207 5.699 2.207 -2.207 5.699 2.207 2.207 -5.699" Properties=species:S:1:pos:R:3 pbc="T T T"
Sc 0.000 0.000 1.438
Sc 0.000 0.000 9.959
Br 0.000 0.000 5.699
Cl 2.207 0.000 2.849
Cl 0.000 2.207 2.849
```

The density of states at the Fermi level is 5.847 states/eV/cell.

For each record above, in turn, the calculated electronic total energy values are -4.650 -4.516 -4.593 -4.295 -4.854 -4.980 eV/atom.
For each record above, in turn, the calculated ΔE_f (raw) values are 89 -1428 -1505 -1172 -1766 -1160 meV/atom.